## BaWS2N (GGA-PBE)

Data for a relaxed structure of BaWS2N.

```
BaWS2N
1.0
-0.245 -4.891 -0.751
4.695 -0.468 1.512
-1.250 -0.509 3.722
S Ba W N
2 1 1 1
direct
0.000 0.500 0.000
0.500 0.000 0.000
0.500 0.500 0.500
0.000 0.000 0.000
0.000 0.000 0.500
```

Summary:
DOS(E_F)	0.96	states/eV/f.u.
space group	P4/mmm
spin magnetization	0.00	μB/cell
E_form (uncorrected)	-0.885	eV per atom
energy relative to the lowest polymorph listed for this composition	0.0000	eV per atom

## ThHgPb (GGA-PBE)

Data for a relaxed structure of ThHgPb.

```
ThHgPb
1.0
3.796 0.000 0.000
0.000 3.796 0.000
-1.898 -1.898 5.907
Pb Hg Th
1 1 1
direct
0.936 0.936 0.872
0.287 0.287 0.575
0.627 0.627 0.254
```

Summary:
DFT formation energy	-12.54	kJ/mol of atoms
DOS(E_F)	2.65	states/eV/f.u.
space group	I4mm
spin magnetization	0.00	μB/cell

Copy entry 2 word for word.
## ThHgPb (GGA-PBE)

Data for a relaxed structure of ThHgPb.

```
ThHgPb
1.0
3.796 0.000 0.000
0.000 3.796 0.000
-1.898 -1.898 5.907
Pb Hg Th
1 1 1
direct
0.936 0.936 0.872
0.287 0.287 0.575
0.627 0.627 0.254
```

Summary:
DFT formation energy	-12.54	kJ/mol of atoms
DOS(E_F)	2.65	states/eV/f.u.
space group	I4mm
spin magnetization	0.00	μB/cell